Entry 1:
# PBE MgPt, relaxed
# calculated volume	16.22	A^3/atom
# E	-4.389	eV per atom
# mass density	11231	kg/m3
data_MgPt
_chemical_formula_sum 'Mg8 Pt8'
_cell_length_a 4.607
_cell_length_b 5.729
_cell_length_c 9.831
_cell_angle_alpha 90.00
_cell_angle_beta 90.00
_cell_angle_gamma 90.00
_space_group_name_H-M_alt 'P m m n'
_space_group_IT_number 59
loop_
_space_group_symop_operation_xyz
'x,y,z'
'-x,-y,-z'
'-x+1/2,-y+1/2,z'
'x+1/2,y+1/2,-z'
'x+1/2,-y,-z'
'-x+1/2,y,z'
'-x,y+1/2,-z'
'x,-y+1/2,z'
loop_
_atom_site_label
_atom_site_type_symbol
_atom_site_fract_x
_atom_site_fract_y
_atom_site_fract_z
_atom_site_occupancy
Mg1 Mg 0.250 0.000 0.092 1
Mg2 Mg 0.250 0.250 0.353 1
Mg3 Mg 0.250 0.250 0.809 1
Pt1 Pt 0.250 0.001 0.587 1
Pt2 Pt 0.250 0.750 0.331 1
Pt3 Pt 0.250 0.750 0.851 1



Entry 2:
# PBE MgPt, relaxed
# calculated volume	25.72	A^3/atom
# E	-3.709	eV per atom
# mass density	7082	kg/m3
data_MgPt
_chemical_formula_sum 'Mg2 Pt2'
_cell_length_a 4.3416
_cell_length_b 4.3416
_cell_length_c 6.3026
_cell_angle_alpha 90.00
_cell_angle_beta 90.00
_cell_angle_gamma 120.00
_space_group_name_H-M_alt 'P 63 m c'
_space_group_IT_number 186
_space_group_name_Hall 'P 6c -2c'
loop_
_atom_site_label
_atom_site_type_symbol
_atom_site_fract_x
_atom_site_fract_y
_atom_site_fract_z
_atom_site_occupancy
Mg1 Mg 0.3333 0.6667 0.0000 1
Pt1 Pt 0.3333 0.6667 0.4017 1



Entry 3:
# PBE MgPt, relaxed
# calculated volume	16.15	A^3/atom
# E	-4.384	eV per atom
# mass density	11277	kg/m3
data_MgPt
_chemical_formula_sum 'Mg4 Pt4'
_cell_length_a 2.910
_cell_length_b 4.534
_cell_length_c 9.794
_cell_angle_alpha 90.00
_cell_angle_beta 90.00
_cell_angle_gamma 90.00
_space_group_name_H-M_alt 'P m m n'
_space_group_IT_number 59
loop_
_space_group_symop_operation_xyz
'x,y,z'
'-x,-y,-z'
'-x+1/2,-y+1/2,z'
'x+1/2,y+1/2,-z'
'x+1/2,-y,-z'
'-x+1/2,y,z'
'-x,y+1/2,-z'
'x,-y+1/2,z'
loop_
_atom_site_label
_atom_site_type_symbol
_atom_site_fract_x
_atom_site_fract_y
_atom_site_fract_z
_atom_site_occupancy
Mg1 Mg 0.250 0.250 0.040 1
Mg2 Mg 0.250 0.750 0.694 1
Pt1 Pt 0.250 0.250 0.537 1
Pt2 Pt 0.250 0.750 0.194 1



Entry 4:
# PBE Mg2Pt3, relaxed
# calculated volume	17.17	A^3/atom
# E	-4.492	eV per atom
# mass density	12264	kg/m3
data_Mg2Pt3
_chemical_formula_sum 'Mg12 Pt18'
_cell_length_a 6.6853
_cell_length_b 6.6853
_cell_length_c 13.3045
_cell_angle_alpha 90.00
_cell_angle_beta 90.00
_cell_angle_gamma 120.00
_space_group_name_H-M_alt 'R -3 c'
_space_group_IT_number 167
_space_group_name_Hall '-R 3 2"c'
loop_
_atom_site_label
_atom_site_type_symbol
_atom_site_fract_x
_atom_site_fract_y
_atom_site_fract_z
_atom_site_occupancy
Mg1 Mg 0.0000 0.0000 0.0995 1
Pt1 Pt 0.0000 0.2525 0.2500 1



Entry 5:
# PBE MgPt, relaxed
# calculated volume	17.07	A^3/atom
# E	-4.421	eV per atom
# mass density	10671	kg/m3
data_MgPt
_chemical_formula_sum 'Mg8 Pt8'
_cell_length_a 4.561
_cell_length_b 11.927
_cell_length_c 5.020
_cell_angle_alpha 90.00
_cell_angle_beta 90.00
_cell_angle_gamma 90.00
_space_group_name_H-M_alt 'P m m n'
_space_group_IT_number 59
loop_
_space_group_symop_operation_xyz
'x,y,z'
'-x,-y,-z'
'-x+1/2,-y+1/2,z'
'x+1/2,y+1/2,-z'
'x+1/2,-y,-z'
'-x+1/2,y,z'
'-x,y+1/2,-z'
'x,-y+1/2,z'
loop_
_atom_site_label
_atom_site_type_symbol
_atom_site_fract_x
_atom_site_fract_y
_atom_site_fract_z
_atom_site_occupancy
Mg1 Mg 0.250 0.087 0.143 1
Mg2 Mg 0.250 0.250 0.714 1
Mg3 Mg 0.250 0.750 0.673 1
Pt1 Pt 0.250 0.022 0.638 1
Pt2 Pt 0.250 0.636 0.153 1



Entry 6:
# PBE RbMgTaPt, relaxed
# calculated volume	19.92	A^3/atom
# E	-4.386	eV per atom
# mass density	10125	kg/m3
data_RbMgTaPt
_chemical_formula_sum 'Rb4 Mg4 Ta4 Pt4'
_cell_length_a 6.830
_cell_length_b 6.830
_cell_length_c 6.830
_cell_angle_alpha 90.00
_cell_angle_beta 90.00
_cell_angle_gamma 90.00
_space_group_name_H-M_alt 'F -4 3 m'
_space_group_IT_number 216
_space_group_name_Hall 'F -4 2 3'
loop_
_atom_site_label
_atom_site_type_symbol
_atom_site_fract_x
_atom_site_fract_y
_atom_site_fract_z
_atom_site_occupancy
Rb1 Rb 0.000 0.000 0.000 1
Mg1 Mg 0.250 0.250 0.750 1
Ta1 Ta 0.250 0.250 0.250 1
Pt1 Pt 0.000 0.000 0.500 1



Entry 7:
# PBE RbMgTaPt, relaxed
# calculated volume	22.33	A^3/atom
# E	-4.109	eV per atom
# mass density	9032	kg/m3
data_RbMgTaPt
_chemical_formula_sum 'Rb4 Mg4 Ta4 Pt4'
_cell_length_a 7.096
_cell_length_b 7.096
_cell_length_c 7.096
_cell_angle_alpha 90.00
_cell_angle_beta 90.00
_cell_angle_gamma 90.00
_space_group_name_H-M_alt 'F -4 3 m'
_space_group_IT_number 216
_space_group_name_Hall 'F -4 2 3'
loop_
_atom_site_label
_atom_site_type_symbol
_atom_site_fract_x
_atom_site_fract_y
_atom_site_fract_z
_atom_site_occupancy
Rb1 Rb 0.000 0.000 0.000 1
Mg1 Mg 0.250 0.250 0.750 1
Ta1 Ta 0.000 0.000 0.500 1
Pt1 Pt 0.250 0.250 0.250 1



Entry 8:
# PBE RbMgTaPt, relaxed
# calculated volume	22.25	A^3/atom
# E	-3.847	eV per atom
# mass density	9065	kg/m3
data_RbMgTaPt
_chemical_formula_sum 'Rb4 Mg4 Ta4 Pt4'
_cell_length_a 7.087
_cell_length_b 7.087
_cell_length_c 7.087
_cell_angle_alpha 90.00
_cell_angle_beta 90.00
_cell_angle_gamma 90.00
_space_group_name_H-M_alt 'F -4 3 m'
_space_group_IT_number 216
_space_group_name_Hall 'F -4 2 3'
loop_
_atom_site_label
_atom_site_type_symbol
_atom_site_fract_x
_atom_site_fract_y
_atom_site_fract_z
_atom_site_occupancy
Rb1 Rb 0.000 0.000 0.000 1
Mg1 Mg 0.000 0.000 0.500 1
Ta1 Ta 0.250 0.250 0.250 1
Pt1 Pt 0.250 0.250 0.750 1



Entry 9:
# PBE Sr2MgPtS6, relaxed
# calculated volume	21.66	A^3/atom
# E	-4.557	eV per atom
# mass density	4500	kg/m3
data_Sr2MgPtS6
_chemical_formula_sum 'Sr4 Mg2 Pt2 S12'
_cell_length_a 12.283
_cell_length_b 5.845
_cell_length_c 7.615
_cell_angle_alpha 90.00
_cell_angle_beta 127.59
_cell_angle_gamma 90.00
_space_group_name_H-M_alt 'C 1 2/m 1'
_space_group_IT_number 12
_space_group_name_Hall '-C 2y'
loop_
_atom_site_label
_atom_site_type_symbol
_atom_site_fract_x
_atom_site_fract_y
_atom_site_fract_z
_atom_site_occupancy
Sr1 Sr 0.242 0.000 0.259 1
Mg1 Mg 0.000 0.000 0.500 1
Pt1 Pt 0.000 0.500 0.000 1
S1 S 0.063 0.259 0.819 1
S2 S 0.241 0.500 0.334 1



Entry 10:
# PBE Sr2MgPtS6, relaxed
# calculated volume	22.04	A^3/atom
# E	-4.589	eV per atom
# mass density	4423	kg/m3
data_Sr2MgPtS6
_chemical_formula_sum 'Sr4 Mg2 Pt2 S12'
_cell_length_a 6.281
_cell_length_b 6.281
_cell_length_c 11.172
_cell_angle_alpha 90.00
_cell_angle_beta 90.00
_cell_angle_gamma 90.00
_space_group_name_H-M_alt 'I 4/m'
_space_group_IT_number 87
_space_group_name_Hall '-I 4'
loop_
_atom_site_label
_atom_site_type_symbol
_atom_site_fract_x
_atom_site_fract_y
_atom_site_fract_z
_atom_site_occupancy
Sr1 Sr 0.000 0.500 0.250 1
Mg1 Mg 0.000 0.000 0.000 1
Pt1 Pt 0.000 0.000 0.500 1
S1 S 0.000 0.000 0.274 1
S2 S 0.128 0.638 0.500 1



Entry 11:
# PBE Sr2MgPtS6, relaxed
# calculated volume	21.66	A^3/atom
# E	-4.557	eV per atom
# mass density	4501	kg/m3
data_Sr2MgPtS6
_chemical_formula_sum 'Sr2 Mg1 Pt1 S6'
_cell_length_a 5.848
_cell_length_b 6.761
_cell_length_c 6.886
_cell_angle_alpha 67.78
_cell_angle_beta 65.13
_cell_angle_gamma 64.61
_space_group_name_H-M_alt 'P -1'
_space_group_IT_number 2
_space_group_name_Hall '-P 1'
loop_
_atom_site_label
_atom_site_type_symbol
_atom_site_fract_x
_atom_site_fract_y
_atom_site_fract_z
_atom_site_occupancy
Sr1 Sr 0.238 0.279 0.244 1
Mg1 Mg 0.000 0.000 0.000 1
Pt1 Pt 0.500 0.500 0.500 1
S1 S 0.194 0.806 0.320 1
S2 S 0.260 0.649 0.833 1
S3 S 0.324 0.191 0.682 1



Entry 12:
# PBE MgZrSb2Pt2, relaxed
# calculated volume	21.56	A^3/atom
# E	-5.958	eV per atom
# mass density	9616	kg/m3
data_MgZrSb2Pt2
_chemical_formula_sum 'Mg4 Zr4 Sb8 Pt8'
_cell_length_a 6.367
_cell_length_b 6.367
_cell_length_c 12.767
_cell_angle_alpha 90.00
_cell_angle_beta 90.00
_cell_angle_gamma 90.00
_space_group_name_H-M_alt 'I -4 2 d'
_space_group_IT_number 122
_space_group_name_Hall 'I -4 2bw'
loop_
_atom_site_label
_atom_site_type_symbol
_atom_site_fract_x
_atom_site_fract_y
_atom_site_fract_z
_atom_site_occupancy
Mg1 Mg 0.000 0.000 0.000 1
Zr1 Zr 0.000 0.000 0.500 1
Sb1 Sb 0.000 0.000 0.246 1
Pt1 Pt 0.242 0.750 0.625 1



Which value of calculated volume does entry 6 give?
19.92 A^3/atom